# 1
# PBE-GGA MgNi2Cl2, optimized geometry
data_MgNi2Cl2
_chemical_formula_sum 'Mg2 Ni4 Cl4'
_cell_length_a 6.6812
_cell_length_b 6.6812
_cell_length_c 4.1375
_cell_angle_alpha 90.00
_cell_angle_beta 90.00
_cell_angle_gamma 90.00
_symmetry_space_group_name_H-M 'P 1'
_symmetry_Int_Tables_number 1
loop_
_symmetry_equiv_pos_as_xyz
'x,y,z'
loop_
_atom_site_label
_atom_site_type_symbol
_atom_site_fract_x
_atom_site_fract_y
_atom_site_fract_z
Mg1 Mg 0.0000 0.0000 0.0000
Mg2 Mg 0.5000 0.5000 0.0000
Ni1 Ni 0.1330 0.3670 0.0000
Ni2 Ni 0.3670 0.8670 0.0000
Ni3 Ni 0.6330 0.1330 0.0000
Ni4 Ni 0.8670 0.6330 0.0000
Cl1 Cl 0.1918 0.3082 0.5000
Cl2 Cl 0.3082 0.8082 0.5000
Cl3 Cl 0.6918 0.1918 0.5000
Cl4 Cl 0.8082 0.6918 0.5000
# - energy relative to the lowest polymorph listed for this composition (meV per atom) = 0
# - VASP energy (eV/atom) = -3.527
# - E_form (uncorrected) (eV/atom) = -0.157
# - density of states at the Fermi level (states/eV per cell) = 6.13

# 2
# PBE-GGA MgNiCl2, optimized geometry
data_MgNiCl2
_chemical_formula_sum 'Mg1 Ni1 Cl2'
_cell_length_a 6.1580
_cell_length_b 6.1580
_cell_length_c 6.1580
_cell_angle_alpha 146.16
_cell_angle_beta 146.16
_cell_angle_gamma 48.61
_symmetry_space_group_name_H-M 'P 1'
_symmetry_Int_Tables_number 1
loop_
_symmetry_equiv_pos_as_xyz
'x,y,z'
loop_
_atom_site_label
_atom_site_type_symbol
_atom_site_fract_x
_atom_site_fract_y
_atom_site_fract_z
Mg1 Mg 0.0000 0.0000 0.0000
Ni1 Ni 0.2500 0.7500 0.5000
Cl1 Cl 0.5000 0.5000 0.0000
Cl2 Cl 0.7500 0.2500 0.5000
# - energy relative to the lowest polymorph listed for this composition (meV per atom) = 470
# - VASP energy (eV/atom) = -3.096
# - E_form (uncorrected) (eV/atom) = -0.329
# - density of states at the Fermi level (states/eV per cell) = 1.66

Among the records above, which one has the lowest density of states at the Fermi level? MgNiCl2